Entry 1:
{"formula": "As2PRu", "functional": "PBE", "state": "optimized geometry", "lattice": [[2.868, -0.001, 0.000], [-1.355, 2.527, 0.000], [0.000, 0.000, 9.189]], "species": ["As", "As", "P", "Ru"], "frac_coords": [[0.000, 0.000, 0.974], [0.000, 0.000, 0.526], [0.500, 0.500, 0.250], [0.500, 0.500, 0.750]], "mass_density_kg_m3": 7030, "crystal_system": "orthorhombic", "ef_ev_per_atom": 0.440, "dos_at_fermi_per_ev_fu": 1.84}

---

Entry 2:
{"formula": "As2PRu", "functional": "PBE", "state": "optimized geometry", "lattice": [[3.974, 0.000, 0.000], [0.000, 5.039, -0.011], [0.000, 3.151, 3.934]], "species": ["As", "As", "P", "Ru"], "frac_coords": [[0.000, 0.574, 0.574], [0.000, 0.926, 0.926], [0.500, 0.250, 0.250], [0.500, 0.750, 0.750]], "mass_density_kg_m3": 5931, "crystal_system": "orthorhombic", "ef_ev_per_atom": -0.080, "dos_at_fermi_per_ev_fu": 0.55}

---

Entry 3:
{"formula": "As2PRu", "functional": "PBE", "state": "optimized geometry", "lattice": [[-3.908, -1.559, 0.509], [0.922, -3.178, -2.656], [1.613, -3.407, 1.951]], "species": ["As", "As", "Ru", "P"], "frac_coords": [[0.000, 0.916, 0.916], [0.500, 0.329, 0.329], [0.500, 0.709, 0.709], [0.000, 0.546, 0.546]], "mass_density_kg_m3": 6678, "crystal_system": "orthorhombic", "ef_ev_per_atom": -0.017, "dos_at_fermi_per_ev_fu": 1.67}